No. 1
Sr5Ti5O13: single point on PBEsol structure, meta-GGA SCAN.

Structure (POSCAR):
```
Sr5Ti5O13
1.0
-5.510 0.501 0.102
-0.420 -2.820 -6.135
-3.428 -7.855 1.374
Ti Sr O
5 5 13
Direct
0.703 0.796 0.110
0.108 0.395 0.295
0.500 0.000 0.500
0.297 0.204 0.890
0.892 0.605 0.705
0.096 0.907 0.303
0.500 0.500 0.500
0.705 0.305 0.101
0.295 0.695 0.899
0.904 0.093 0.697
0.000 0.000 0.000
0.218 0.295 0.100
0.383 0.619 0.205
0.293 0.221 0.422
0.112 0.402 0.788
0.888 0.598 0.212
0.782 0.705 0.900
0.805 0.203 0.409
0.707 0.779 0.578
0.418 0.063 0.718
0.617 0.381 0.795
0.582 0.937 0.282
0.195 0.797 0.591
```

Computed properties:
D(E_F): 5.2 states/eV/f.u.
ΔE_f (raw): -3241.9 meV/atom
SG: P-1 (2)
Calculated volume: 12.915 Å³ per atom

No. 2
LiMnCu3: single point on PBEsol structure, meta-GGA SCAN.

Structure (POSCAR):
```
LiMnCu3
1.0
4.504 0.000 0.000
0.000 4.504 0.000
0.000 0.000 4.504
Cu Li Mn
3 1 1
Direct
0.500 0.000 0.000
0.000 0.500 0.000
0.000 0.000 0.500
0.500 0.500 0.500
0.000 0.000 0.000
```

Computed properties:
D(E_F): 2.0 states/eV/f.u.
Energy above the most stable polymorph in this dataset: 0.228 eV/atom
SG: Pm-3m (221)
Calculated volume: 18.270 Å³ per atom

No. 3
Zr2Sc: single point on PBEsol structure, meta-GGA SCAN.

Structure (POSCAR):
```
Zr2Sc
1.0
3.172 0.000 0.000
0.000 8.560 0.000
0.000 -4.280 7.413
Sc Zr
3 6
Direct
0.000 0.333 0.667
0.500 0.000 0.000
0.000 0.667 0.333
0.000 0.310 0.000
0.500 0.644 0.000
0.000 0.000 0.310
0.000 0.690 0.690
0.500 0.000 0.644
0.500 0.356 0.356
```

Computed properties:
D(E_F): 3.3 states/eV/f.u.
SG: P-62m (189)
Calculated volume: 22.365 Å³ per atom
DFT total energy: -25.19 eV per atom

- The lowest D(E_F) belongs to which entry?
  LiMnCu3

Please write out number 3 again, unchanged.
Zr2Sc: single point on PBEsol structure, meta-GGA SCAN.

Structure (POSCAR):
```
Zr2Sc
1.0
3.172 0.000 0.000
0.000 8.560 0.000
0.000 -4.280 7.413
Sc Zr
3 6
Direct
0.000 0.333 0.667
0.500 0.000 0.000
0.000 0.667 0.333
0.000 0.310 0.000
0.500 0.644 0.000
0.000 0.000 0.310
0.000 0.690 0.690
0.500 0.000 0.644
0.500 0.356 0.356
```

Computed properties:
D(E_F): 3.3 states/eV/f.u.
SG: P-62m (189)
Calculated volume: 22.365 Å³ per atom
DFT total energy: -25.19 eV per atom

Repeat the second record exactly.
LiMnCu3: single point on PBEsol structure, meta-GGA SCAN.

Structure (POSCAR):
```
LiMnCu3
1.0
4.504 0.000 0.000
0.000 4.504 0.000
0.000 0.000 4.504
Cu Li Mn
3 1 1
Direct
0.500 0.000 0.000
0.000 0.500 0.000
0.000 0.000 0.500
0.500 0.500 0.500
0.000 0.000 0.000
```

Computed properties:
D(E_F): 2.0 states/eV/f.u.
Energy above the most stable polymorph in this dataset: 0.228 eV/atom
SG: Pm-3m (221)
Calculated volume: 18.270 Å³ per atom

Please write out number 1 again, unchanged.
Sr5Ti5O13: single point on PBEsol structure, meta-GGA SCAN.

Structure (POSCAR):
```
Sr5Ti5O13
1.0
-5.510 0.501 0.102
-0.420 -2.820 -6.135
-3.428 -7.855 1.374
Ti Sr O
5 5 13
Direct
0.703 0.796 0.110
0.108 0.395 0.295
0.500 0.000 0.500
0.297 0.204 0.890
0.892 0.605 0.705
0.096 0.907 0.303
0.500 0.500 0.500
0.705 0.305 0.101
0.295 0.695 0.899
0.904 0.093 0.697
0.000 0.000 0.000
0.218 0.295 0.100
0.383 0.619 0.205
0.293 0.221 0.422
0.112 0.402 0.788
0.888 0.598 0.212
0.782 0.705 0.900
0.805 0.203 0.409
0.707 0.779 0.578
0.418 0.063 0.718
0.617 0.381 0.795
0.582 0.937 0.282
0.195 0.797 0.591
```

Computed properties:
D(E_F): 5.2 states/eV/f.u.
ΔE_f (raw): -3241.9 meV/atom
SG: P-1 (2)
Calculated volume: 12.915 Å³ per atom